La3InCo3 | PBE | optimized geometry

```
La3InCo3
1.0
3.803 0.000 0.000
0.000 8.885 -5.130
0.000 0.000 10.260
La In Co
6 2 6
Cartesian
2.852 3.272 1.324
2.852 8.396 1.634
2.852 6.102 -2.959
0.951 5.613 3.806
0.951 0.489 3.496
0.951 2.783 8.088
2.852 2.962 5.130
0.951 5.923 0.000
2.852 0.192 1.446
2.852 1.156 9.371
2.852 7.537 4.573
0.951 8.693 3.684
0.951 7.729 -4.241
0.951 1.348 0.557
```

Summary:
Energy of formation from the pure elements in meV per atom: -160

La7In3Co2 | PBE | optimized geometry

```
La7In3Co2
1.0
5.296 0.000 0.000
0.000 5.108 -1.115
0.000 0.230 13.313
La In Co
7 3 2
Cartesian
0.000 2.209 10.121
0.000 4.173 6.857
0.000 0.000 0.000
0.000 3.129 2.077
2.648 0.547 2.505
2.648 4.792 9.693
0.000 1.166 5.341
2.648 2.554 -0.558
2.648 3.690 4.646
2.648 1.649 7.552
0.000 4.765 9.572
0.000 0.573 2.627
```

Summary:
Energy of formation from the pure elements in meV per atom: -307